[1]
This record from the Alexandria database describes a relaxed structure of TbCuHgPb. The functional is PBE.

The energy of formation comes out at -0.16 eV/atom. For the density, the calculation gives 11234 kg/m3. As for the crystal system: cubic. For the total energy, the calculation gives -3.340 eV/atom.

It has space group F-43m (No. 216), with a = 7.1960 Å, b = 7.1960 Å, c = 7.1960 Å, α = 90.00°, β = 90.00° and γ = 90.00°. The asymmetric unit holds Tb at (0.0000, 0.0000, 0.0000), Cu at (0.2500, 0.2500, 0.7500), Hg at (0.2500, 0.2500, 0.2500) and Pb at (0.0000, 0.0000, 0.5000).

=====

[2]
This record from the Alexandria database describes a relaxed structure of V4IrRh4. The functional is PBE.

The energy of formation comes out at -0.33 eV/atom. For the density, the calculation gives 10670 kg/m3. As for the crystal system: tetragonal. For the total energy, the calculation gives -8.638 eV/atom.

It has space group I4/mmm (No. 139), with a = 8.0724 Å, b = 8.0724 Å, c = 3.8575 Å, α = 90.00°, β = 90.00° and γ = 90.00°. The asymmetric unit holds V at (0.0000, 0.3228, 0.0000), Ir at (0.0000, 0.0000, 0.0000) and Rh at (0.1679, 0.1679, 0.5000).

=====

[3]
This record from the Alexandria database describes a relaxed structure of TaCo2Hg. The functional is PBE.

The energy of formation comes out at 0.41 eV/atom. For the density, the calculation gives 13727 kg/m3. As for the crystal system: monoclinic. For the total energy, the calculation gives -6.183 eV/atom.

It has space group P2/m (No. 10), with a = 4.5206 Å, b = 2.8923 Å, c = 5.0333 Å, α = 90.00°, β = 113.37° and γ = 90.00°. The asymmetric unit holds Ta at (0.0000, 0.0000, 0.0000), Co at (0.5000, 0.0000, 0.5000), Co at (0.5000, 0.5000, 0.0000) and Hg at (0.0000, 0.5000, 0.5000).

=====

[4]
This record from the Alexandria database describes a relaxed structure of Tc2Pt5Rh2. The functional is PBE.

The energy of formation comes out at -0.10 eV/atom. For the density, the calculation gives 16937 kg/m3. As for the crystal system: triclinic. For the total energy, the calculation gives -7.392 eV/atom.

It has space group P-1 (No. 2), with a = 4.7937 Å, b = 4.7940 Å, c = 6.9786 Å, α = 96.77°, β = 96.76° and γ = 119.97°. The asymmetric unit holds Tc at (0.2250, 0.2256, 0.1688), Pt at (0.0000, 0.0000, 0.5000), Pt at (0.1092, 0.4404, 0.8334), Pt at (0.4405, 0.1093, 0.8333) and Rh at (0.3399, 0.6603, 0.5005).

=====

[5]
This record from the Alexandria database describes a relaxed structure of Nd2NiGe4Rh3. The functional is PBE.

The energy of formation comes out at -0.79 eV/atom. For the density, the calculation gives 8576 kg/m3. As for the crystal system: tetragonal. For the total energy, the calculation gives -6.373 eV/atom.

It has space group P-4m2 (No. 115), with a = 4.3044 Å, b = 4.3044 Å, c = 9.8903 Å, α = 90.00°, β = 90.00° and γ = 90.00°. The asymmetric unit holds Nd at (0.0000, 0.5000, 0.2482), Ni at (0.0000, 0.0000, 0.5000), Ge at (0.0000, 0.0000, 0.0000), Ge at (0.0000, 0.5000, 0.6238), Ge at (0.5000, 0.5000, 0.0000), Rh at (0.0000, 0.5000, 0.8724) and Rh at (0.5000, 0.5000, 0.5000).

=====

[6]
This record from the Alexandria database describes a relaxed structure of Gd2ThPb. The functional is PBE.

The energy of formation comes out at -0.23 eV/atom. For the density, the calculation gives 10249 kg/m3. As for the crystal system: tetragonal. The calculation puts the relative energy among the computed polymorphs at 0.019 eV per atom. For the total energy, the calculation gives -10.048 eV/atom.

It has space group P4/mmm (No. 123), with a = 3.6428 Å, b = 3.6428 Å, c = 9.2030 Å, α = 90.00°, β = 90.00° and γ = 90.00°. The asymmetric unit holds Gd at (0.0000, 0.0000, 0.2383), Th at (0.5000, 0.5000, 0.5000) and Pb at (0.5000, 0.5000, 0.0000).

=====

[7]
This record from the Alexandria database describes a relaxed structure of Y2SiSnRh6. The functional is PBE.

As for the formation energy from raw total energies: -2.928 eV per formula unit. For the density, the calculation gives 7858 kg/m3. As for the crystal system: trigonal. For the total energy, the calculation gives -6.939 eV/atom.

It has space group R-3m (No. 166, hexagonal axes), with a = 6.5549 Å, b = 6.5549 Å, c = 16.0459 Å, α = 90.00°, β = 90.00° and γ = 120.00°. The asymmetric unit holds Y at (0.0000, 0.0000, 0.2499), Si at (0.0000, 0.0000, 0.0000), Sn at (0.0000, 0.0000, 0.5000) and Rh at (0.0184, 0.5092, 0.7454).

=====

[8]
This record from the Alexandria database describes a relaxed structure of K4SeS. The functional is PBE.

As for the formation energy from raw total energies: -6.495 eV per formula unit. For the density, the calculation gives 2025 kg/m3. As for the crystal system: trigonal. For the total energy, the calculation gives -3.083 eV/atom.

It has space group R-3m (No. 166, hexagonal axes), with a = 5.3673 Å, b = 5.3673 Å, c = 26.3716 Å, α = 90.00°, β = 90.00° and γ = 120.00°. The asymmetric unit holds K at (0.0000, 0.0000, 0.1219), K at (0.0000, 0.0000, 0.3721), Se at (0.0000, 0.0000, 0.5000) and S at (0.0000, 0.0000, 0.0000).

=====

[9]
This record from the Alexandria database describes a relaxed structure of Tb2Pr2YHo4. The functional is PBE.

The energy of formation comes out at 0.00 eV/atom. For the density, the calculation gives 7645 kg/m3. As for the crystal system: monoclinic. For the total energy, the calculation gives -4.844 eV/atom.

It has space group C2/m (No. 12), with a = 18.7461 Å, b = 3.6132 Å, c = 9.5997 Å, α = 90.00°, β = 115.73° and γ = 90.00°. The asymmetric unit holds Tb at (0.1469, 0.0000, 0.1620), Pr at (0.1656, 0.5000, 0.4995), Y at (0.0000, 0.0000, 0.5000), Ho at (0.0196, 0.5000, 0.8357) and Ho at (0.1854, 0.0000, 0.8369).

=====

[10]
This record from the Alexandria database describes a relaxed structure of CaZnCu2. The functional is PBE.

The energy of formation comes out at -0.15 eV/atom. For the density, the calculation gives 4979 kg/m3. As for the crystal system: monoclinic. For the total energy, the calculation gives -3.017 eV/atom.

It has space group Cm (No. 8), with a = 7.3090 Å, b = 4.2120 Å, c = 5.5850 Å, α = 90.00°, β = 115.55° and γ = 90.00°. The asymmetric unit holds Ca at (0.0000, 0.0000, 0.0000), Zn at (0.1965, 0.0000, 0.5893), Cu at (0.3025, 0.5000, 0.4071) and Cu at (0.4902, 0.0000, 0.4695).

=====

[11]
This record from the Alexandria database describes a relaxed structure of SrMnCr2. The functional is PBE.

The energy of formation comes out at 1.25 eV/atom. For the density, the calculation gives 4652 kg/m3. As for the crystal system: monoclinic. The calculation puts the relative energy among the computed polymorphs at 0.692 eV per atom. For the total energy, the calculation gives -6.277 eV/atom.

It has space group C2/m (No. 12), with a = 6.1308 Å, b = 10.0546 Å, c = 3.1031 Å, α = 90.00°, β = 113.06° and γ = 90.00°. The asymmetric unit holds Sr at (0.0000, 0.0000, 0.0000), Mn at (0.0000, 0.5000, 0.0000) and Cr at (0.2500, 0.2500, 0.5000).

=====

[12]
This record from the Alexandria database describes a relaxed structure of Er8Cd2Fe. The functional is PBE.

The energy of formation comes out at -0.09 eV/atom. For the density, the calculation gives 9209 kg/m3. As for the crystal system: monoclinic. The calculation puts the relative energy among the computed polymorphs at 0.000 eV per atom. For the total energy, the calculation gives -4.347 eV/atom.

It has space group C2/m (No. 12), with a = 17.1248 Å, b = 5.3540 Å, c = 6.8251 Å, α = 90.00°, β = 111.10° and γ = 90.00°. The asymmetric unit holds Er at (0.0180, 0.0000, 0.2853), Er at (0.0938, 0.5000, 0.9057), Er at (0.1459, 0.5000, 0.4381), Er at (0.1963, 0.0000, 0.7730), Cd at (0.1825, 0.0000, 0.2004) and Fe at (0.0000, 0.5000, 0.5000).